## i
VASP calculation (PBE-GGA) on an optimized crystal structure of NbSb2IrI.

Output
The calculation puts the density of states at the Fermi level at 8.3 states/eV/f.u. For the magnetic moment, the calculation gives 1.63 μB per formula unit.

a b c (Å): 5.3591 5.3591 5.2724
angles (deg): 90.00 90.00 90.00
Last column: nearest neighbours and their distance in Å.
Atoms (fractional coordinates):
Ir 0.5000 0.5000 0.5000  8 Sb 3.76, 4 I 3.79
Sb 0.5000 0.0000 0.0000  2 Nb 2.68
Sb 0.0000 0.5000 0.0000  2 Nb 2.68
I 0.0000 0.0000 0.5000  2 Nb 2.64
Nb 0.0000 0.0000 0.0000  2 I 2.64, 4 Sb 2.68



## ii
VASP calculation (PBE-GGA) on an optimized crystal structure of NbSb2IrI.

Output
The calculation puts the density of states at the Fermi level at 8.4 states/eV/f.u. For the magnetic moment, the calculation gives 0.00 μB per formula unit.

a b c (Å): 5.0866 5.0866 5.3702
angles (deg): 90.00 90.00 90.00
Last column: nearest neighbours and their distance in Å.
Atoms (fractional coordinates):
Sb 0.5000 0.0000 0.0000  2 Ir 2.54
Sb 0.0000 0.5000 0.0000  2 Ir 2.54
Nb 0.5000 0.5000 0.5000  4 I 3.60, 8 Sb 3.70
Ir 0.0000 0.0000 0.0000  4 Sb 2.54, 2 I 2.69
I 0.0000 0.0000 0.5000  2 Ir 2.69



It comes down to ii, which is 17.2 kJ/mol of atoms more stable than the next structure.